Zr2IrRuC, relaxed, DFT PBE; SG = P4/mmm; magnetic moment = 0.00 μB/atom; ΔE_f = 8.68 eV/f.u.
1.0
4.961 0.000 0.000
0.000 4.961 0.000
0.000 0.000 4.603
Zr Ir Ru C
2 1 1 1
Cartesian
0.000 2.480 0.000
2.480 0.000 0.000
0.000 0.000 2.301
0.000 0.000 0.000
2.480 2.480 2.301